Entry 1:
Below is a relaxed structure of LiCa3Ho2Te6, with properties calculated at the GGA-PBE level.

Geometry as extended XYZ:
```
12
Lattice="7.638 0.002 -0.001 -3.816 6.617 -0.001 -1.276 -2.210 7.232" Properties=species:S:1:pos:R:3 pbc="T T T"
Te -1.264 2.188 1.725
Te 2.556 4.426 1.733
Te 2.527 -0.001 1.725
Te 0.020 4.410 5.505
Te -0.010 -0.017 5.497
Te 3.810 2.221 5.505
Ca 5.078 0.007 3.615
Ca 1.273 2.204 3.615
Ca -2.532 4.402 3.615
Ho 3.815 2.210 -0.001
Ho 0.007 4.409 -0.001
Li 0.000 0.000 0.000
```

Output
- symmetry = C2/m (12)
- magnetic moment (μB per formula unit) = 0.0
- VASP energy (eV/atom) = -4.45

---

Entry 2:
Below is a relaxed structure of LiCaHoTe3, with properties calculated at the GGA-PBE level.

Geometry as extended XYZ:
```
12
Lattice="-0.973 3.801 -1.867 -5.647 1.835 6.679 8.325 3.666 3.124" Properties=species:S:1:pos:R:3 pbc="T T T"
Te -1.769 4.239 1.967
Te 6.463 4.329 2.914
Te 3.473 5.063 5.968
Te -4.758 4.974 5.021
Te 2.169 5.136 1.741
Te -0.464 4.166 6.195
Li 4.153 3.251 1.925
Li -2.448 6.051 6.010
Ho 4.336 6.507 3.402
Ho -2.632 2.795 4.533
Ca 0.711 2.169 1.517
Ca 0.994 7.133 6.418
```

Output
- symmetry = P2_1/m (11)
- magnetic moment (μB per formula unit) = 0.0
- VASP energy (eV/atom) = -4.33

---

Entry 3:
Below is a relaxed structure of LiCaHo2Te4, with properties calculated at the GGA-PBE level.

Geometry as extended XYZ:
```
8
Lattice="-2.908 -1.657 2.773 -0.548 -6.162 -4.257 5.542 -1.031 5.196" Properties=species:S:1:pos:R:3 pbc="T T T"
Ho 1.317 -1.344 3.985
Ho 2.497 -3.596 0.469
Te 4.015 -2.345 2.809
Te 2.283 -6.177 2.109
Te -0.196 -2.673 1.603
Te 0.979 -4.848 -1.871
Ca 0.000 0.000 0.000
Li -1.728 -3.910 -0.742
```

Output
- symmetry = P2/m (10)
- magnetic moment (μB per formula unit) = 0.0
- VASP energy (eV/atom) = -4.58

---

Entry 4:
Below is a relaxed structure of LiCa3Ho3Te8, with properties calculated at the GGA-PBE level.

Geometry as extended XYZ:
```
15
Lattice="8.779 0.000 0.000 -4.389 7.603 -0.027 0.000 -5.042 7.302" Properties=species:S:1:pos:R:3 pbc="T T T"
Te 6.571 -1.253 1.918
Te 2.182 3.813 5.358
Te 2.208 -1.253 1.918
Te 0.000 2.541 1.868
Te 4.389 0.019 5.407
Te -2.182 3.813 5.358
Te 4.389 2.526 1.904
Te 0.000 0.034 5.371
Ho 4.389 -2.521 3.651
Ho -2.195 1.280 3.638
Ho 2.195 1.280 3.638
Ca 0.000 0.000 0.000
Ca -2.195 3.801 -0.013
Ca 2.195 3.801 -0.013
Li 0.000 -2.521 3.651
```

Output
- symmetry = R-3m (166)
- magnetic moment (μB per formula unit) = 0.0
- VASP energy (eV/atom) = -4.51

---

Entry 5:
Below is a relaxed structure of LiCaHoTl, with properties calculated at the GGA-PBE level.

Geometry as extended XYZ:
```
4
Lattice="-0.484 -4.397 -2.988 0.894 -4.803 2.153 -4.070 -3.354 0.827" Properties=species:S:1:pos:R:3 pbc="T T T"
Tl -1.830 -6.277 -0.004
Ho -2.745 -9.416 -0.006
Ca -0.915 -3.139 -0.002
Li 0.000 0.000 0.000
```

Output
- symmetry = F-43m (216)
- magnetic moment (μB per formula unit) = 0.0
- VASP energy (eV/atom) = -2.93

---

Entry 6:
Below is a relaxed structure of LiCa2HoTl4, with properties calculated at the GGA-PBE level.

Geometry as extended XYZ:
```
8
Lattice="-1.996 4.716 1.483 -2.665 0.441 4.597 5.967 3.587 6.207" Properties=species:S:1:pos:R:3 pbc="T T T"
Ho 0.000 0.000 0.000
Ca 0.921 6.543 9.182
Ca 0.386 2.201 3.104
Tl -1.817 5.863 7.660
Tl -2.121 3.683 4.601
Tl 3.428 5.061 7.686
Tl 3.124 2.881 4.627
Li 0.653 4.372 6.143
```

Output
- symmetry = R-3m (166)
- magnetic moment (μB per formula unit) = 0.0
- VASP energy (eV/atom) = -2.84

---

Entry 7:
Below is a relaxed structure of Li2CaHo2Tl2, with properties calculated at the GGA-PBE level.

Geometry as extended XYZ:
```
7
Lattice="-3.234 3.644 0.276 -2.507 0.730 4.123 4.624 7.034 4.455" Properties=species:S:1:pos:R:3 pbc="T T T"
Tl -0.380 2.767 2.168
Tl -0.738 8.642 6.686
Ca 0.000 0.000 0.000
Ho 2.107 4.888 3.304
Ho -3.225 6.521 5.549
Li 1.438 7.407 5.340
Li -2.556 4.001 3.514
```

Output
- symmetry = R-3m (166)
- magnetic moment (μB per formula unit) = 0.0
- VASP energy (eV/atom) = -2.99

---

Entry 8:
Below is a relaxed structure of Li2Ca2HoTl2, with properties calculated at the GGA-PBE level.

Geometry as extended XYZ:
```
7
Lattice="4.923 0.000 0.000 2.461 4.263 0.000 2.461 1.421 9.281" Properties=species:S:1:pos:R:3 pbc="T T T"
Ca 2.461 1.421 5.863
Ca 7.384 4.263 3.418
Ho 0.000 0.000 0.000
Tl 2.461 1.421 1.733
Tl 7.384 4.263 7.548
Li 4.923 2.842 1.520
Li 4.923 2.842 7.761
```

Output
- symmetry = R-3m (166)
- magnetic moment (μB per formula unit) = 0.0
- VASP energy (eV/atom) = -2.67